Here is a relaxed RbCe2Cl7 crystal from the Alexandria database. Energies are from GGA-PBE.

Calculated values
The mass density comes out at 3.0 Mg/m³. The total DFT energy (no corrections) comes out at -4.75 eV per atom.

Cell: 8.3117 8.3117 5.5224 Å, 90.00 90.00 115.88°
Closest atoms and distances in Å follow each position.
Element x y z (fractional)
Rb (0.0000, 0.0000, 0.0000)  10 Cl 3.76-4.02
Ce (0.3020, 0.6980, 0.5000)  7 Cl 2.77-2.88
Ce (0.6980, 0.3020, 0.5000)  7 Cl 2.77-2.88
Cl (0.0505, 0.3264, 0.5000)  2 Ce 2.85-2.88
Cl (0.2854, 0.7146, 0.0000)  2 Ce 2.77
Cl (0.3264, 0.0505, 0.5000)  2 Ce 2.85-2.88
Cl (0.5000, 0.5000, 0.5000)  2 Ce 2.79
Cl (0.6736, 0.9495, 0.5000)  2 Ce 2.85-2.88
Cl (0.7146, 0.2854, 0.0000)  2 Ce 2.77
Cl (0.9495, 0.6736, 0.5000)  2 Ce 2.85-2.88

Here is a relaxed Zr2PbW crystal from the Alexandria database. Energies are from GGA-PBE.

Calculated values
The mass density comes out at 11.2 Mg/m³. Its formation enthalpy at 0 K is 0.2529 eV per atom.

Cell: 5.6471 5.6471 5.6471 Å, 136.35 136.35 63.44°
Closest atoms and distances in Å follow each position.
Element x y z (fractional)
Zr (0.0000, 0.0000, 0.0000)  4 W 2.97, 4 Zr 3.19, 4 Pb 3.19
Zr (0.7500, 0.2500, 0.5000)  4 Pb 2.97, 4 Zr 3.19, 4 W 3.19
Pb (0.2500, 0.7500, 0.5000)  8 Zr 2.97-3.19, 4 W 3.19
W (0.5000, 0.5000, 0.0000)  8 Zr 2.97-3.19, 4 Pb 3.19